[1]
DFT (GGA-PBE) results for Ru2Au after structural relaxation.

Cell and atoms, written as POSCAR:
```
Ru2Au
1.0
4.475 0.000 0.000
-2.237 3.875 0.000
0.000 0.000 5.383
Ru Au
4 2
Cartesian
0.000 0.000 0.000
0.000 0.000 2.692
0.000 2.584 1.346
2.237 1.292 4.037
0.000 2.584 4.037
2.237 1.292 1.346
```

- raw total energy (eV per atom) = -6.600
- formation enthalpy at 0 K (eV/atom) = 0.68
- energy above the lowest structure with this stoichiometry (meV per atom) = 450

***

[2]
DFT (GGA-PBE) results for RuAu after structural relaxation.

Cell and atoms, written as POSCAR:
```
RuAu
1.0
2.817 0.000 0.000
-1.409 2.440 0.000
0.000 0.000 13.872
Ru Au
3 3
Cartesian
0.000 0.000 0.000
0.000 1.627 9.248
1.409 0.813 4.624
0.000 0.000 6.936
0.000 1.627 2.312
1.409 0.813 11.560
```

- raw total energy (eV per atom) = -5.792
- formation enthalpy at 0 K (eV/atom) = 0.48
- energy above the lowest structure with this stoichiometry (meV per atom) = 307

***

[3]
DFT (GGA-PBE) results for RuAu after structural relaxation.

Cell and atoms, written as POSCAR:
```
RuAu
1.0
10.129 0.000 0.000
0.000 10.129 0.000
0.000 0.000 3.835
Ru Au
8 8
Cartesian
2.055 2.958 0.000
2.106 7.120 1.918
2.958 8.073 0.000
3.009 2.106 1.918
7.120 8.023 1.918
7.171 2.055 0.000
8.023 3.009 1.918
8.073 7.171 0.000
0.287 2.054 1.918
2.054 9.842 1.918
3.011 5.351 0.000
4.778 3.011 0.000
5.351 7.118 0.000
7.118 4.778 0.000
8.075 0.287 1.918
9.842 8.075 1.918
```

- raw total energy (eV per atom) = -5.315
- formation enthalpy at 0 K (eV/atom) = 0.96
- energy above the lowest structure with this stoichiometry (meV per atom) = 784

***

[4]
DFT (GGA-PBE) results for RuAu after structural relaxation.

Cell and atoms, written as POSCAR:
```
RuAu
1.0
10.302 0.000 0.000
-5.151 8.922 0.000
0.000 0.000 3.816
Ru Au
6 6
Cartesian
-2.877 5.045 0.954
2.221 3.908 0.954
4.495 0.031 2.862
0.656 8.891 0.954
2.930 5.014 2.862
8.028 3.877 2.862
-1.576 6.533 2.862
0.281 4.290 2.862
3.856 1.902 0.954
1.295 7.020 2.862
4.870 4.631 0.954
6.727 2.389 0.954
```

- raw total energy (eV per atom) = -5.243
- formation enthalpy at 0 K (eV/atom) = 1.03
- energy above the lowest structure with this stoichiometry (meV per atom) = 855

***

[5]
DFT (GGA-PBE) results for RuAu2 after structural relaxation.

Cell and atoms, written as POSCAR:
```
RuAu2
1.0
7.971 0.000 0.000
-3.985 6.903 0.000
0.000 0.000 2.794
Ru Au
3 6
Cartesian
0.000 0.000 0.000
0.000 4.602 1.397
3.985 2.301 1.397
-1.207 2.091 1.397
-2.531 4.384 0.000
2.415 0.000 1.397
1.454 2.519 0.000
5.062 0.000 0.000
2.778 4.811 1.397
```

- raw total energy (eV per atom) = -4.796
- formation enthalpy at 0 K (eV/atom) = 0.48
- energy above the lowest structure with this stoichiometry (meV per atom) = 169

***

[6]
DFT (GGA-PBE) results for Ru2Au after structural relaxation.

Cell and atoms, written as POSCAR:
```
Ru2Au
1.0
6.550 0.000 0.000
-3.275 5.673 0.000
0.000 0.000 4.008
Ru Au
6 3
Cartesian
-0.778 1.347 0.000
-1.891 3.275 2.004
1.556 0.000 0.000
1.384 2.398 2.004
3.782 0.000 2.004
2.497 4.325 0.000
0.000 0.000 2.004
0.000 3.782 0.000
3.275 1.891 0.000
```

- raw total energy (eV per atom) = -6.307
- formation enthalpy at 0 K (eV/atom) = 0.97
- energy above the lowest structure with this stoichiometry (meV per atom) = 743

***

[7]
DFT (GGA-PBE) results for RuAu after structural relaxation.

Cell and atoms, written as POSCAR:
```
RuAu
1.0
2.762 0.000 0.000
0.000 13.553 0.000
0.000 0.000 3.638
Ru Au
4 4
Cartesian
0.000 2.820 0.909
0.000 10.733 2.728
1.381 3.956 2.728
1.381 9.597 0.909
0.000 5.718 0.909
0.000 7.835 2.728
1.381 1.058 2.728
1.381 12.495 0.909
```

- raw total energy (eV per atom) = -5.934
- formation enthalpy at 0 K (eV/atom) = 0.34
- energy above the lowest structure with this stoichiometry (meV per atom) = 165

***

[8]
DFT (GGA-PBE) results for RuAu2 after structural relaxation.

Cell and atoms, written as POSCAR:
```
RuAu2
1.0
4.235 0.000 0.000
0.000 12.260 0.000
0.000 0.000 3.909
Ru Au
4 8
Cartesian
0.000 0.828 0.977
0.000 11.432 2.932
2.117 5.302 2.932
2.117 6.958 0.977
0.000 3.045 2.932
0.000 5.100 0.977
0.000 7.160 2.932
0.000 9.215 0.977
2.117 1.030 2.932
2.117 3.085 0.977
2.117 9.175 2.932
2.117 11.229 0.977
```

- raw total energy (eV per atom) = -4.926
- formation enthalpy at 0 K (eV/atom) = 0.35
- energy above the lowest structure with this stoichiometry (meV per atom) = 39

***

[9]
DFT (GGA-PBE) results for Ru5Au after structural relaxation.

Cell and atoms, written as POSCAR:
```
Ru5Au
1.0
5.013 0.000 0.000
-2.507 4.342 0.000
0.000 0.000 4.503
Ru Au
5 1
Cartesian
-1.253 2.171 0.000
0.000 2.894 2.252
2.507 0.000 0.000
1.253 2.171 0.000
2.507 1.447 2.252
0.000 0.000 2.252
```

- raw total energy (eV per atom) = -7.507
- formation enthalpy at 0 K (eV/atom) = 0.77
- energy above the lowest structure with this stoichiometry (meV per atom) = 567

***

[10]
DFT (GGA-PBE) results for RuAu after structural relaxation.

Cell and atoms, written as POSCAR:
```
RuAu
1.0
0.000 3.972 7.406
2.359 0.000 7.406
2.359 3.972 0.000
Ru Au
4 4
Cartesian
0.590 0.993 0.615
0.590 0.993 3.088
4.129 6.951 11.724
4.129 6.951 14.197
1.770 1.655 5.554
2.949 3.641 9.257
1.770 4.302 5.554
2.949 6.288 9.257
```

- raw total energy (eV per atom) = -5.671
- formation enthalpy at 0 K (eV/atom) = 0.61
- energy above the lowest structure with this stoichiometry (meV per atom) = 427

***

[11]
DFT (GGA-PBE) results for Ru2Au after structural relaxation.

Cell and atoms, written as POSCAR:
```
Ru2Au
1.0
2.817 0.000 0.000
0.000 3.779 0.000
0.000 0.000 8.614
Ru Au
4 2
Cartesian
0.000 0.000 1.567
0.000 0.000 7.047
1.408 1.890 2.740
1.408 1.890 5.874
0.000 0.000 4.307
1.408 1.890 0.000
```

- raw total energy (eV per atom) = -6.975
- formation enthalpy at 0 K (eV/atom) = 0.30
- energy above the lowest structure with this stoichiometry (meV per atom) = 75

***

[12]
DFT (GGA-PBE) results for Ru2Au after structural relaxation.

Cell and atoms, written as POSCAR:
```
Ru2Au
1.0
6.146 0.000 0.000
0.000 6.146 0.000
0.000 0.000 6.146
Ru Au
8 4
Cartesian
0.642 0.642 0.642
0.642 2.431 3.715
2.431 3.715 0.642
2.431 5.504 3.715
3.715 0.642 2.431
3.715 2.431 5.504
5.504 3.715 2.431
5.504 5.504 5.504
0.000 0.000 3.073
0.000 3.073 0.000
3.073 0.000 0.000
3.073 3.073 3.073
```

- raw total energy (eV per atom) = -5.962
- formation enthalpy at 0 K (eV/atom) = 1.31
- energy above the lowest structure with this stoichiometry (meV per atom) = 1088

***

> energy above the lowest structure with this stoichiometry of number 5 (RuAu2)?

169 meV per atom

***

> The highest formation enthalpy at 0 K belongs to which entry?

number 12

***

What did the tenth record say?
DFT (GGA-PBE) results for RuAu after structural relaxation.

Cell and atoms, written as POSCAR:
```
RuAu
1.0
0.000 3.972 7.406
2.359 0.000 7.406
2.359 3.972 0.000
Ru Au
4 4
Cartesian
0.590 0.993 0.615
0.590 0.993 3.088
4.129 6.951 11.724
4.129 6.951 14.197
1.770 1.655 5.554
2.949 3.641 9.257
1.770 4.302 5.554
2.949 6.288 9.257
```

- raw total energy (eV per atom) = -5.671
- formation enthalpy at 0 K (eV/atom) = 0.61
- energy above the lowest structure with this stoichiometry (meV per atom) = 427